Record 1
The following is a GGA-PBE calculation of an optimized crystal structure of BaSnTe3, from Alexandria via LeMat-Bulk.

Results
Crystal system   monoclinic
Energy relative to the elements, uncorrected   -743 meV per atom
Energy relative to the lowest polymorph listed for this composition   0.0 meV per atom
DFT total energy   -3.8133 eV/atom

a = 8.952 Å, b = 8.952 Å, c = 5.240 Å
α = 88.29°, β = 88.29°, γ = 74.05°
Fractional coordinates of all 10 atoms:
1 Ba 0.785 0.785 0.791
2 Ba 0.215 0.215 0.209
3 Sn 0.320 0.680 0.000
4 Sn 0.680 0.320 0.000
5 Te 0.604 0.604 0.273
6 Te 0.396 0.396 0.727
7 Te 0.641 0.066 0.287
8 Te 0.066 0.641 0.287
9 Te 0.934 0.359 0.713
10 Te 0.359 0.934 0.713

---

Record 2
The following is a GGA-PBE calculation of an optimized crystal structure of TiGe2AsH, from Alexandria via LeMat-Bulk.

Results
Crystal system   tetragonal
DFT total energy   -4.4121 eV/atom

a = 4.929 Å, b = 4.820 Å, c = 4.929 Å
α = 90.00°, β = 90.00°, γ = 90.00°
Fractional coordinates of all 5 atoms:
1 H 0.500 0.500 0.500
2 As 0.000 0.500 0.000
3 Ge 0.000 0.000 0.500
4 Ge 0.500 0.000 0.000
5 Ti 0.000 0.000 0.000

---

The highest DFT total energy belongs to which entry? BaSnTe3

---

What is the DFT total energy in the second record? -4.4121 eV/atom

---

The highest DFT total energy belongs to which entry? BaSnTe3